K2Mo3PbF12: relaxed, PBE with a Hubbard U.

a b c (Å): 7.4259 7.4259 7.4259
angles (deg): 64.60 64.60 64.60
With the nearest neighbours (Å) after each atom.
Atoms (fractional coordinates):
1 K 0.6220 0.6220 0.6220  3 F 2.65
2 K 0.3780 0.3780 0.3780  3 F 2.65
3 Mo 0.5000 0.0000 0.0000  6 F 2.08-2.13
4 Mo 0.0000 0.5000 0.0000  6 F 2.08-2.13
5 Mo 0.0000 0.0000 0.5000  6 F 2.08-2.13
6 Pb 0.0000 0.0000 0.0000  6 F 2.64
7 F 0.3072 0.3072 0.8884  2 Mo 2.13
8 F 0.8666 0.8666 0.4121  1 Mo 2.08
9 F 0.4121 0.8666 0.8666  1 Mo 2.08
10 F 0.8884 0.3072 0.3072  2 Mo 2.13
11 F 0.8666 0.4121 0.8666  1 Mo 2.08
12 F 0.3072 0.8884 0.3072  2 Mo 2.13
13 F 0.6928 0.6928 0.1116  2 Mo 2.13
14 F 0.1334 0.1334 0.5879  1 Mo 2.08
15 F 0.5879 0.1334 0.1334  1 Mo 2.08
16 F 0.1116 0.6928 0.6928  2 Mo 2.13
17 F 0.1334 0.5879 0.1334  1 Mo 2.08
18 F 0.6928 0.1116 0.6928  2 Mo 2.13

Results
calculated total energy	-5.25	eV/atom
volume	17.7	A^3/atom